A relaxed structure of Ca3CdP, computed with PBE-GGA.

Output
Calculated total energy = -58.27 eV per cell
Energy relative to the elements = -2.2 eV per formula unit
Excess energy over the best structure of this formula in the dataset = 210 meV/atom
Crystal system = orthorhombic

Cell lengths 7.3827, 10.1777, 8.0363 Å; angles 90.00, 90.00, 90.00 degrees
Atoms (fractional coordinates):
Cd 0.0000 0.0000 0.5000
Cd 0.0000 0.5000 0.5000
Ca 0.3516 0.0833 0.3304
P 0.3607 0.7500 0.5415
P 0.6393 0.2500 0.4585
Ca 0.4037 0.2500 0.7679
P 0.8607 0.7500 0.9585
Cd 0.5000 0.0000 0.0000
Ca 0.5963 0.7500 0.2321
Ca 0.6484 0.5833 0.6696
P 0.1393 0.2500 0.0415
Ca 0.6484 0.9167 0.6696
Ca 0.1484 0.9167 0.8304
Cd 0.5000 0.5000 0.0000
Ca 0.8516 0.0833 0.1696
Ca 0.8516 0.4167 0.1696
Ca 0.1484 0.5833 0.8304
Ca 0.9037 0.2500 0.7321
Ca 0.3516 0.4167 0.3304
Ca 0.0963 0.7500 0.2679